1.
This record from Alexandria describes an optimized crystal structure of Sb2Rh2Cl. The functional is PBE.

Summary:
ΔE_f (raw), eV per formula unit: -1.017

abc: 7.750 7.750 3.270
angles: 90.00 90.00 90.00
Space group P4/mbm (No. 127)
Inequivalent atoms, fractional coordinates:
Sb (0.150, 0.350, 0.000)
Rh (0.132, 0.632, 0.500)
Cl (0.000, 0.000, 0.500)

2.
This record from Alexandria describes an optimized crystal structure of PrTe2O5. The functional is PBE.

Summary:
ΔE_f (raw), eV per formula unit: -12.946

abc: 7.389 10.913 7.535
angles: 90.00 90.00 90.00
Space group Pbcn (No. 60)
Inequivalent atoms, fractional coordinates:
Pr (0.000, 0.052, 0.250)
Te (0.098, 0.355, 0.026)
O (0.000, 0.440, 0.250)
O (0.170, 0.063, 0.524)
O (0.182, 0.220, 0.166)

3.
This record from Alexandria describes an optimized crystal structure of Pt2C. The functional is PBE.

Summary:
Calculated total energy, eV/f.u.: -14.35

abc: 7.336 7.336 7.336
angles: 90.00 90.00 90.00
Space group Fd-3m (No. 227, origin choice 2)
Inequivalent atoms, fractional coordinates:
Pt (0.000, 0.000, 0.000)
C (0.125, 0.125, 0.625)

4.
This record from Alexandria describes an optimized crystal structure of In2CoMo. The functional is PBE.

Summary:
Calculated total energy, eV/f.u.: -21.54

abc: 6.507 6.507 6.507
angles: 90.00 90.00 90.00
Space group Fm-3m (No. 225)
Inequivalent atoms, fractional coordinates:
In (0.250, 0.250, 0.250)
Co (0.000, 0.000, 0.000)
Mo (0.000, 0.000, 0.500)

5.
This record from Alexandria describes an optimized crystal structure of LiP2. The functional is PBE.

Summary:
Calculated total energy, eV/f.u.: -13.25

abc: 11.112 3.272 5.563
angles: 90.00 97.92 90.00
Space group Cm (No. 8)
Inequivalent atoms, fractional coordinates:
Li (0.000, 0.000, 0.000)
Li (0.113, 0.500, 0.452)
P (0.223, 0.000, 0.768)
P (0.229, 0.000, 0.154)
P (0.363, 0.500, 0.344)
P (0.405, 0.000, 0.667)

6.
This record from Alexandria describes an optimized crystal structure of ZrBeCdNi. The functional is PBE.

Summary:
Calculated total energy, eV/f.u.: -19.50

abc: 6.251 6.251 6.251
angles: 90.00 90.00 90.00
Space group F-43m (No. 216)
Inequivalent atoms, fractional coordinates:
Zr (0.000, 0.000, 0.000)
Be (0.250, 0.250, 0.250)
Cd (0.000, 0.000, 0.500)
Ni (0.250, 0.250, 0.750)

7.
This record from Alexandria describes an optimized crystal structure of ZnNiAu2. The functional is PBE.

Summary:
Calculated total energy, eV/f.u.: -13.71

abc: 8.910 2.927 4.871
angles: 90.00 101.46 90.00
Space group C2/m (No. 12)
Inequivalent atoms, fractional coordinates:
Zn (0.000, 0.000, 0.000)
Ni (0.000, 0.500, 0.500)
Au (0.246, 0.000, 0.746)

8.
This record from Alexandria describes an optimized crystal structure of Sr2YPb. The functional is PBE.

Summary:
Calculated total energy, eV/f.u.: -14.34

abc: 4.222 5.893 12.473
angles: 90.00 90.00 90.00
Space group Imm2 (No. 44)
Inequivalent atoms, fractional coordinates:
Sr (0.000, 0.000, 0.000)
Sr (0.000, 0.500, 0.206)
Y (0.000, 0.500, 0.793)
Pb (0.000, 0.000, 0.482)